A relaxed structure of Fe2HgSbO, computed with PBE+U.

Calculated values
The density of states at the Fermi level comes out at 4.09 states/eV/f.u. As for the total energy: -2.749 eV per atom.

Lattice parameters (Å, degrees): 5.1483 5.1483 5.3678 90.00 90.00 90.00
Space group P4/mmm (No. 123)
Symmetry-distinct sites (fractional):
Fe (0.0000, 0.5000, 0.0000) (multiplicity 2)
Hg (0.0000, 0.0000, 0.0000) (multiplicity 1)
Sb (0.0000, 0.0000, 0.5000) (multiplicity 1)
O (0.5000, 0.5000, 0.5000) (multiplicity 1)